A) GdPu3 | GGA-PBE | optimized geometry

Unit cell a=4.814 b=4.814 c=5.886 alpha=114.14 beta=114.14 gamma=90.00
Fractional positions:
Pu  0.750  0.250  0.500
Pu  0.500  0.500  0.000
Gd  0.000  0.000  0.000
Pu  0.250  0.750  0.500

Results
Crystal system: tetragonal
Space group: I4/mmm
Total moment: 10.51 μB/f.u.



B) GdPu3 | GGA-PBE | optimized geometry

Unit cell a=4.846 b=4.846 c=4.846 alpha=90.00 beta=90.00 gamma=90.00
Fractional positions:
Pu  0.500  0.500  0.000
Gd  0.000  0.000  0.000
Pu  0.500  0.000  0.500
Pu  0.000  0.500  0.500

Results
Crystal system: cubic
Space group: Pm-3m
Total moment: 25.03 μB/f.u.



Energetically preferred structure: A) | next structure: +21 meV/atom



A) GdPu2 | GGA-PBE | optimized geometry

Unit cell a=3.291 b=3.291 c=6.556 alpha=104.54 beta=104.54 gamma=90.00
Fractional positions:
Gd  0.000  0.000  0.000
Pu  0.716  0.716  0.432
Pu  0.284  0.284  0.568

Results
Crystal system: tetragonal
Space group: I4/mmm
Total moment: 7.46 μB/f.u.



B) GdPu2 | GGA-PBE | optimized geometry

Unit cell a=6.256 b=6.256 c=6.256 alpha=60.00 beta=60.00 gamma=60.00
Fractional positions:
Pu  0.125  0.625  0.625
Pu  0.625  0.625  0.625
Pu  0.625  0.625  0.125
Gd  0.250  0.250  0.250
Pu  0.625  0.125  0.625
Gd  0.000  0.000  0.000

Results
Crystal system: cubic
Space group: Fd-3m
Total moment: 19.30 μB/f.u.



Energetically preferred structure: B) | next structure: +73 meV/atom